# InPtRhS2, optimized geometry, DFT PBE
# **E above lowest polymorph**: 0.0 kJ per mole of atoms
# **Volume**: 105.7 Å³/f.u.
# **Formation energy (no corrections)**: 172 kJ/mol of formula units
# **Magnetic moment**: 0.00 μB per cell
data_InPtRhS2
_chemical_formula_sum 'In1 Pt1 Rh1 S2'
_space_group_name_H-M_alt 'P 4/m m m'
_space_group_IT_number 123
_space_group_name_Hall '-P 4 2'
_cell_length_a 4.4540
_cell_length_b 4.4540
_cell_length_c 5.3293
_cell_angle_alpha 90.00
_cell_angle_beta 90.00
_cell_angle_gamma 90.00
loop_
_atom_site_label
_atom_site_fract_x
_atom_site_fract_y
_atom_site_fract_z
_atom_site_occupancy
In1 0.0000 0.0000 0.0000 1
Pt1 0.5000 0.5000 0.0000 1
Rh1 0.5000 0.5000 0.5000 1
S1 0.0000 0.5000 0.5000 1